Entry 1:
DFT (PBE-GGA) results for a geometry-optimized CsCdInF6 structure.

Properties
Volume   20.3 Å³/atom
Total magnetic moment   0.00 μB/cell
Uncorrected formation energy   -2.518 eV per atom
Space-group type   Imma, No. 74

abc: 8.027 8.027 8.027
angles: 121.07 119.12 89.84
Positions (direct):
Cs 0.361 0.111 0.250
Cs 0.639 0.889 0.750
Cd 0.000 0.000 0.500
Cd 0.000 0.500 0.000
In 0.000 0.500 0.500
In 0.500 0.500 0.000
F 0.085 0.432 0.269
F 0.085 0.815 0.653
F 0.087 0.837 0.250
F 0.306 0.556 0.750
F 0.338 0.185 0.769
F 0.338 0.568 0.153
F 0.662 0.432 0.847
F 0.662 0.815 0.231
F 0.694 0.444 0.250
F 0.913 0.163 0.750
F 0.915 0.185 0.347
F 0.915 0.568 0.731



Entry 2:
DFT (PBE-GGA) results for a geometry-optimized PmB6Ru2 structure.

Properties
Volume   10.2 Å³/atom
Total magnetic moment   0.00 μB/cell
Formation energy from the elements   -409 meV per atom
Space-group type   Immm, No. 71

abc: 5.606 5.606 5.606
angles: 145.44 109.13 81.30
Positions (direct):
Pm 0.000 0.000 0.000
B 0.071 0.308 0.763
B 0.357 0.500 0.857
B 0.455 0.692 0.763
B 0.545 0.308 0.237
B 0.643 0.500 0.143
B 0.929 0.692 0.237
Ru 0.340 0.840 0.500
Ru 0.660 0.160 0.500



Entry 3:
DFT (PBE-GGA) results for a geometry-optimized LaRhN2F structure.

Properties
Energy relative to the lowest polymorph listed for this composition   6.00 eV/f.u.
Volume   17.9 Å³/atom
Total magnetic moment   2.46 μB/cell
Uncorrected formation energy   0.551 eV per atom
Space-group type   P4/mmm, No. 123

abc: 4.454 4.454 4.506
angles: 90.00 90.00 90.00
Positions (direct):
La 0.000 0.000 0.000
Rh 0.500 0.500 0.500
N 0.000 0.500 0.000
N 0.500 0.000 0.000
F 0.000 0.000 0.500



Entry 4:
DFT (PBE-GGA) results for a geometry-optimized Tl2ReAgI structure.

Properties
Volume   41.0 Å³/atom
Total magnetic moment   2.69 μB/cell
Uncorrected formation energy   1.503 eV per atom
Space-group type   P4/mmm, No. 123

abc: 6.415 6.415 4.986
angles: 90.00 90.00 90.00
Positions (direct):
Tl 0.000 0.500 0.000
Tl 0.500 0.000 0.000
Re 0.000 0.000 0.500
Ag 0.500 0.500 0.500
I 0.000 0.000 0.000



Entry 5:
DFT (PBE-GGA) results for a geometry-optimized Ba2CdSbS5 structure.

Properties
Volume   27.5 Å³/atom
Total magnetic moment   0.00 μB/cell
Uncorrected formation energy   -1.103 eV per atom
Space-group type   Cmc2_1, No. 36

abc: 9.402 9.402 12.820
angles: 90.00 90.00 154.14
Positions (direct):
Ba 0.105 0.895 0.500
Ba 0.127 0.873 0.122
Ba 0.873 0.127 0.622
Ba 0.895 0.105 0.000
Cd 0.444 0.556 0.267
Cd 0.556 0.444 0.767
Sb 0.219 0.781 0.837
Sb 0.781 0.219 0.337
S 0.069 0.931 0.874
S 0.276 0.724 0.472
S 0.299 0.701 0.201
S 0.357 0.643 0.816
S 0.498 0.502 0.594
S 0.502 0.498 0.094
S 0.643 0.357 0.316
S 0.701 0.299 0.701
S 0.724 0.276 0.972
S 0.931 0.069 0.374



Entry 6:
DFT (PBE-GGA) results for a geometry-optimized Tl2CrRe structure.

Properties
Energy relative to the lowest polymorph listed for this composition   1.91 eV/f.u.
Volume   19.6 Å³/atom
Total magnetic moment   11.21 μB/cell
Formation energy from the elements   993 meV per atom
Space-group type   R-3m, No. 166

abc: 3.163 3.163 27.142
angles: 90.00 90.00 120.00
Positions (direct):
Tl 0.000 0.000 0.250
Tl 0.000 0.000 0.750
Tl 0.333 0.667 0.416
Tl 0.333 0.667 0.917
Tl 0.667 0.333 0.083
Tl 0.667 0.333 0.584
Cr 0.000 0.000 0.500
Cr 0.333 0.667 0.167
Cr 0.667 0.333 0.833
Re 0.000 0.000 0.000
Re 0.333 0.667 0.667
Re 0.667 0.333 0.333



> Which formula does entry 5 have?

Ba2CdSbS5